1.
VASP calculation (PBE-GGA) on an optimized crystal structure of Tc2GePdI.

Values from the calculation:
Crystal system: tetragonal

a b c (Å): 4.707 5.603 4.707
angles (deg): 90.00 90.00 90.00
Sites, in units of the cell vectors:
1 I 0.000 0.500 0.000
2 Tc 0.500 0.000 0.000
3 Tc 0.000 0.000 0.500
4 Pd 0.500 0.500 0.500
5 Ge 0.000 0.000 0.000

2.
VASP calculation (PBE-GGA) on an optimized crystal structure of Ge2PdWI.

Values from the calculation:
Crystal system: tetragonal
Polymorph energy (0 for the lowest one), meV per atom: 0

a b c (Å): 4.777 5.545 4.777
angles (deg): 90.00 90.00 90.00
Sites, in units of the cell vectors:
1 Ge 0.000 0.000 0.500
2 Ge 0.500 0.000 0.000
3 W 0.500 0.500 0.500
4 Pd 0.000 0.000 0.000
5 I 0.000 0.500 0.000

3.
VASP calculation (PBE-GGA) on an optimized crystal structure of Ge2PdWI.

Values from the calculation:
Crystal system: tetragonal
Polymorph energy (0 for the lowest one), meV per atom: 757

a b c (Å): 5.366 4.993 5.366
angles (deg): 90.00 90.00 90.00
Sites, in units of the cell vectors:
1 Ge 0.500 0.000 0.000
2 Ge 0.000 0.000 0.500
3 Pd 0.500 0.500 0.500
4 W 0.000 0.500 0.000
5 I 0.000 0.000 0.000

4.
VASP calculation (PBE-GGA) on an optimized crystal structure of YGePdI2.

Values from the calculation:
Crystal system: tetragonal

a b c (Å): 5.891 5.321 5.891
angles (deg): 90.00 90.00 90.00
Sites, in units of the cell vectors:
1 I 0.500 0.000 0.000
2 I 0.000 0.000 0.500
3 Y 0.000 0.000 0.000
4 Ge 0.500 0.500 0.500
5 Pd 0.000 0.500 0.000

5.
VASP calculation (PBE-GGA) on an optimized crystal structure of Pm2GeI2.

Values from the calculation:
Crystal system: orthorhombic
Polymorph energy (0 for the lowest one), meV per atom: 325

a b c (Å): 4.180 7.629 11.223
angles (deg): 90.00 90.00 105.90
Sites, in units of the cell vectors:
1 Ge 0.652 0.303 0.986
2 Ge 0.348 0.697 0.486
3 Pm 0.232 0.463 0.138
4 Pm 0.768 0.537 0.638
5 Pm 0.037 0.075 0.900
6 Pm 0.963 0.925 0.400
7 I 0.903 0.806 0.132
8 I 0.366 0.732 0.830
9 I 0.634 0.268 0.330
10 I 0.097 0.194 0.632

6.
VASP calculation (PBE-GGA) on an optimized crystal structure of Pm2GeI.

Values from the calculation:
Crystal system: tetragonal
Polymorph energy (0 for the lowest one), meV per atom: 281

a b c (Å): 3.690 3.690 8.112
angles (deg): 90.00 90.00 90.00
Sites, in units of the cell vectors:
1 Pm 0.000 0.000 0.218
2 Pm 0.000 0.000 0.782
3 Ge 0.500 0.500 0.000
4 I 0.500 0.500 0.500

7.
VASP calculation (PBE-GGA) on an optimized crystal structure of Pm6Ge2I.

Values from the calculation:
Crystal system: hexagonal

a b c (Å): 4.400 8.253 8.253
angles (deg): 120.00 90.00 90.00
Sites, in units of the cell vectors:
1 Ge 0.000 0.333 0.667
2 Ge 0.000 0.667 0.333
3 Pm 0.500 0.000 0.412
4 Pm 0.500 0.588 0.588
5 Pm 0.000 0.277 0.277
6 Pm 0.000 0.000 0.723
7 Pm 0.000 0.723 0.000
8 Pm 0.500 0.412 0.000
9 I 0.500 0.000 0.000

8.
VASP calculation (PBE-GGA) on an optimized crystal structure of Pm5Ge2I5.

Values from the calculation:
Crystal system: monoclinic

a b c (Å): 4.360 7.636 13.732
angles (deg): 105.43 90.00 106.59
Sites, in units of the cell vectors:
1 I 0.669 0.338 0.059
2 I 0.331 0.662 0.941
3 I 0.750 0.500 0.362
4 I 0.250 0.500 0.638
5 I 0.500 0.000 0.500
6 Ge 0.018 0.037 0.798
7 Ge 0.982 0.963 0.202
8 Pm 0.356 0.711 0.182
9 Pm 0.000 0.000 0.000
10 Pm 0.903 0.806 0.602
11 Pm 0.644 0.289 0.818
12 Pm 0.097 0.194 0.398

9.
VASP calculation (PBE-GGA) on an optimized crystal structure of Pm2GeI2.

Values from the calculation:
Crystal system: trigonal
Polymorph energy (0 for the lowest one), meV per atom: 0

a b c (Å): 4.346 4.346 11.779
angles (deg): 79.37 79.37 60.00
Sites, in units of the cell vectors:
1 I 0.773 0.773 0.682
2 I 0.227 0.227 0.318
3 Pm 0.620 0.620 0.141
4 Pm 0.380 0.380 0.859
5 Ge 0.000 0.000 0.000

10.
VASP calculation (PBE-GGA) on an optimized crystal structure of Pm4GeI5.

Values from the calculation:
Crystal system: monoclinic

a b c (Å): 4.300 9.044 9.980
angles (deg): 102.30 102.44 90.00
Sites, in units of the cell vectors:
1 Pm 0.000 0.785 0.000
2 Pm 0.352 0.926 0.703
3 Pm 0.000 0.215 0.000
4 Pm 0.648 0.074 0.297
5 I 0.166 0.336 0.333
6 I 0.829 0.175 0.658
7 I 0.171 0.825 0.342
8 I 0.834 0.664 0.667
9 I 0.500 0.500 0.000
10 Ge 0.500 0.000 0.000

11.
VASP calculation (PBE-GGA) on an optimized crystal structure of Pm2GeI.

Values from the calculation:
Crystal system: trigonal
Polymorph energy (0 for the lowest one), meV per atom: 0

a b c (Å): 4.333 4.334 8.019
angles (deg): 105.65 90.00 119.99
Sites, in units of the cell vectors:
1 I 0.500 0.500 0.000
2 Pm 0.733 0.966 0.699
3 Pm 0.267 0.034 0.301
4 Ge 0.000 0.500 0.500

12.
VASP calculation (PBE-GGA) on an optimized crystal structure of Pm4Ge2I5.

Values from the calculation:
Crystal system: orthorhombic

a b c (Å): 4.313 8.678 11.328
angles (deg): 112.52 100.97 90.00
Sites, in units of the cell vectors:
1 Ge 0.442 0.442 0.885
2 Ge 0.558 0.558 0.115
3 Pm 0.000 0.291 0.000
4 Pm 0.690 0.690 0.380
5 Pm 0.000 0.709 0.000
6 Pm 0.310 0.310 0.620
7 I 0.170 0.944 0.339
8 I 0.830 0.056 0.661
9 I 0.830 0.604 0.661
10 I 0.500 0.000 0.000
11 I 0.170 0.396 0.339

| no. | raw formation energy (kJ/mol of formula units) | uncorrected energy (eV per atom) |
| --- | --- | --- |
| 1 | 758 | -4.85 |
| 2 | 647 | -4.44 |
| 3 | 1012 | -3.69 |
| 4 | 82 | -3.70 |
| 5 | -439 | -4.35 |
| 6 | -287 | -4.66 |
| 7 | -454 | -4.89 |
| 8 | -973 | -4.24 |
| 9 | -595 | -4.68 |
| 10 | -1209 | -4.39 |
| 11 | -395 | -4.94 |
| 12 | -1083 | -4.29 |